Below is a relaxed SrZnPb crystal, with properties calculated at the PBE-GGA level.

Lattice parameters (Å, degrees): 4.7701 4.7701 9.0924 90.00 90.00 120.00
Fractional coordinates of all 6 atoms:
Sr 0.0000 0.0000 0.0000
Sr 0.0000 0.0000 0.5000
Zn 0.3333 0.6667 0.2500
Zn 0.6667 0.3333 0.7500
Pb 0.3333 0.6667 0.7500
Pb 0.6667 0.3333 0.2500

Summary:
Final energy = -15.66 eV/cell
V = 29.86 Å³ per atom